[1]
DFT (PBE) results for an optimized crystal structure of Ac2SbO.

abc: 6.748 6.773 12.849
angles: 90.00 116.02 90.00
Element x y z (fractional)
Ac1 0.094 0.221 0.096
Ac2 0.094 0.779 0.596
Ac3 0.301 0.209 0.845
Ac4 0.301 0.791 0.345
Ac5 0.699 0.209 0.655
Ac6 0.699 0.791 0.155
Ac7 0.906 0.221 0.404
Ac8 0.906 0.779 0.904
Sb1 0.373 0.286 0.377
Sb2 0.373 0.714 0.877
Sb3 0.627 0.286 0.123
Sb4 0.627 0.714 0.623
O1 0.013 0.127 0.617
O2 0.013 0.873 0.117
O3 0.987 0.127 0.883
O4 0.987 0.873 0.383

Values from the calculation:
N(E_F) = 2.8 states/eV/f.u.
VASP energy = -24.3 eV/f.u.
space group = P2/c (13)
uncorrected formation energy = -1763 meV per atom
distance to the lowest polymorph of the same formula = 196 meV/atom
volume = 32.98 A^3/atom

[2]
DFT (PBE) results for an optimized crystal structure of MgFe2Ru2.

abc: 7.092 7.092 2.688
angles: 90.00 90.00 90.00
Element x y z (fractional)
Mg1 0.000 0.000 0.000
Mg2 0.500 0.500 0.000
Fe1 0.117 0.383 0.000
Fe2 0.383 0.883 0.000
Fe3 0.617 0.117 0.000
Fe4 0.883 0.617 0.000
Ru1 0.175 0.675 0.500
Ru2 0.325 0.175 0.500
Ru3 0.675 0.825 0.500
Ru4 0.825 0.325 0.500

Values from the calculation:
formation energy = 176 meV/atom
N(E_F) = 5.5 states/eV/f.u.
VASP energy = -36.2 eV/f.u.
space group = P4/mbm (127)
distance to the lowest polymorph of the same formula = 0 meV/atom
volume = 13.52 A^3/atom

no.,magnetization (μB per atom),calculated density (g/cm3)
1,0.000,7.45
2,0.000,8.31